1.
Below is a geometry-optimized Dy2Si3Ir structure, with properties calculated at the PBE level.

DOS(E_F) = 0.3057 states/eV/atom
formation energy without anion corrections = -917 meV per atom
magnetization = 0.000 μB/cell
calculated density = 8.6 Mg/m³

Cell: 5.7388 5.7388 8.1503 Å, 110.84 110.84 89.40°
Fractional positions:
Si 0.6674 0.6674 0.8329
Si 0.3326 0.3326 0.1671
Si 0.8330 0.8330 0.6659
Si 0.1656 0.1656 0.8329
Si 0.1670 0.1670 0.3341
Si 0.8344 0.8344 0.1671
Dy 0.7473 0.2527 0.0000
Dy 0.2527 0.7473 0.0000
Dy 0.7500 0.2500 0.5000
Dy 0.2500 0.7500 0.5000
Ir 0.6662 0.6662 0.3323
Ir 0.3338 0.3338 0.6677

---

2.
Below is a geometry-optimized Dy2Si4Ir3 structure, with properties calculated at the PBE level.

DOS(E_F) = 0.4422 states/eV/atom
formation energy without anion corrections = -753 meV per atom
magnetization = 0.000 μB/cell
distance to the lowest polymorph of the same formula = 192.6 meV per atom
calculated density = 10.8 Mg/m³

Cell: 5.5276 5.5276 6.5257 Å, 102.11 102.11 120.31°
Fractional positions:
Dy 0.3660 0.3660 0.7320
Dy 0.6340 0.6340 0.2680
Si 0.9852 0.3344 0.3196
Si 0.3344 0.9852 0.3196
Si 0.0148 0.6656 0.6804
Si 0.6656 0.0148 0.6804
Ir 0.0000 0.5000 0.0000
Ir 0.5000 0.0000 0.0000
Ir 0.0000 0.0000 0.0000

---

3.
Below is a geometry-optimized Dy3Si5Ir6 structure, with properties calculated at the PBE level.

DOS(E_F) = 0.4000 states/eV/atom
formation energy without anion corrections = -1010 meV per atom
magnetization = 0.000 μB/cell
calculated density = 12.4 Mg/m³

Cell: 4.0175 9.6311 12.3737 Å, 90.00 90.00 90.00°
Fractional positions:
Si 0.0000 0.5176 0.1189
Si 0.0000 0.5176 0.8811
Si 0.0000 0.8844 0.0000
Si 0.5000 0.1499 0.8270
Si 0.0000 0.8501 0.3270
Si 0.5000 0.1499 0.1730
Si 0.5000 0.4824 0.3811
Si 0.5000 0.4824 0.6189
Si 0.0000 0.8501 0.6730
Si 0.5000 0.1156 0.5000
Dy 0.0000 0.2520 0.6599
Dy 0.0000 0.2568 0.0000
Dy 0.5000 0.7480 0.8401
Dy 0.0000 0.2520 0.3401
Dy 0.5000 0.7480 0.1599
Dy 0.5000 0.7432 0.5000
Ir 0.0000 0.0097 0.8315
Ir 0.0000 0.4900 0.5000
Ir 0.0000 0.9796 0.5000
Ir 0.0000 0.6025 0.7014
Ir 0.5000 0.3975 0.2014
Ir 0.0000 0.0097 0.1685
Ir 0.5000 0.5100 0.0000
Ir 0.5000 0.0204 0.0000
Ir 0.5000 0.9903 0.3315
Ir 0.5000 0.9903 0.6685
Ir 0.5000 0.3975 0.7986
Ir 0.0000 0.6025 0.2986

---

4.
Below is a geometry-optimized DySiIr structure, with properties calculated at the PBE level.

DOS(E_F) = 0.4324 states/eV/atom
formation energy without anion corrections = -1060 meV per atom
magnetization = 0.000 μB/cell
calculated density = 11.7 Mg/m³

Cell: 4.2489 6.8813 7.4054 Å, 90.00 90.00 90.00°
Fractional positions:
Ir 0.2500 0.1569 0.9318
Ir 0.7500 0.3431 0.4318
Ir 0.7500 0.8431 0.0682
Ir 0.2500 0.6569 0.5682
Dy 0.2500 0.4994 0.1862
Dy 0.7500 0.5006 0.8138
Dy 0.2500 0.9994 0.3138
Dy 0.7500 0.0006 0.6862
Si 0.2500 0.2990 0.6092
Si 0.7500 0.2010 0.1092
Si 0.7500 0.7010 0.3908
Si 0.2500 0.7990 0.8908